{
  "formula": "CrPd3F",
  "functional": "PBE+U",
  "state": "optimized geometry",
  "cell": [[-1.563, -1.760, -4.134], [-2.408, -3.367, 2.344], [-3.793, 2.863, 0.215]],
  "species": ["Cr", "Pd", "Pd", "Pd", "F"],
  "fractional_positions": [[0.000, 0.000, 0.000], [0.000, 0.000, 0.500], [0.000, 0.500, 0.000], [0.500, 0.000, 0.000], [0.500, 0.500, 0.500]],
  "m_tot_mub_per_atom": 0.638,
  "dos_at_fermi_per_ev_cell": 6.25,
  "sg": "No. 221",
  "e_tot_ev_per_cell": -20.51
}